(1)
# BaZnAsBr2

Crystalline BaZnAsBr2 at its relaxed geometry (PBE, the Alexandria database).

POSCAR file:
```
BaZnAsBr2
1.0
6.231 0.000 0.000
0.000 6.231 0.000
0.000 0.000 7.596
Ba Zn As Br
1 1 1 2
Cartesian
0.000 0.000 0.000 Ba
3.115 3.115 3.798 Zn
0.000 0.000 3.798 As
0.000 3.115 0.000 Br
3.115 0.000 0.000 Br
```

Properties
E_form (uncorrected) = -0.335 eV/atom

=====

(2)
# KFe2As

Crystalline KFe2As at its relaxed geometry (PBE, the Alexandria database).

POSCAR file:
```
KFe2As
1.0
-2.313 2.313 8.097
2.313 -2.313 8.097
2.313 2.313 -8.097
K Fe As
2 4 2
Cartesian
0.000 0.000 0.000 K
0.000 2.313 4.049 K
1.156 2.293 -2.024 Fe
2.332 1.156 2.024 Fe
1.156 0.020 6.073 Fe
-0.020 1.156 10.122 Fe
2.313 0.000 4.049 As
0.000 0.000 8.097 As
```

=====

(3)
# NbRe2As

Crystalline NbRe2As at its relaxed geometry (PBE, the Alexandria database).

POSCAR file:
```
NbRe2As
1.0
-1.904 1.904 9.527
1.904 -1.904 9.527
1.904 1.904 -9.527
Nb Re As
2 4 2
Cartesian
0.000 0.000 0.000 Nb
0.000 1.904 4.764 Nb
0.952 -0.775 7.145 Re
1.130 0.952 2.382 Re
0.952 2.679 -2.382 Re
0.775 0.952 11.909 Re
1.904 0.000 4.764 As
0.000 0.000 9.527 As
```

=====

(4)
# PaVCrC3

Crystalline PaVCrC3 at its relaxed geometry (PBE, the Alexandria database).

POSCAR file:
```
PaVCrC3
1.0
5.693 0.000 0.000
0.000 3.098 0.000
-2.633 0.000 7.740
Pa V Cr C
2 2 2 6
Cartesian
-0.438 0.774 1.637 Pa
3.498 2.323 6.103 Pa
0.582 2.323 4.499 V
2.478 0.774 3.241 V
2.398 2.323 0.946 Cr
0.662 0.774 6.795 Cr
-0.623 0.774 5.078 C
1.516 0.774 0.069 C
1.186 2.323 2.589 C
1.874 0.774 5.151 C
1.544 2.323 7.671 C
3.683 2.323 2.662 C
```

=====

Number 1: V 294.89 Å³ per cell, total DFT energy (no corrections) -2.57 eV per atom. Number 2: V 173.22 Å³ per cell, total DFT energy (no corrections) -5.18 eV per atom. Number 3: V 138.21 Å³ per cell, total DFT energy (no corrections) -9.43 eV per atom. Number 4: V 136.50 Å³ per cell, total DFT energy (no corrections) -9.63 eV per atom.